1.
MgIn2O4 after structural relaxation, computed with PBE-GGA.

As for the formation energy (no corrections): -1268 kJ/mol of formula units. The value obtained for the total moment is 0.000 μB/f.u. The energy above the most stable polymorph in this dataset is 0.005 eV/atom. The value obtained for the mass density is 5.7 Mg/m³.

The structure belongs to space group Fd-3m (No. 227, origin choice 2); the cell edges are 9.0571, 9.0571 and 9.0571 Å and the angles 90.00°, 90.00° and 90.00°. Symmetry generates all atoms from Mg at (0.1250, 0.1250, 0.1250), In at (0.0000, 0.0000, 0.5000) and O at (0.0059, 0.0059, 0.7441).

=====

2.
MgInO after structural relaxation, computed with PBE-GGA.

As for the formation energy (no corrections): -461 kJ/mol of formula units. The value obtained for the total moment is 0.000 μB/f.u. The energy above the most stable polymorph in this dataset is 0.000 eV/atom. The value obtained for the mass density is 5.1 Mg/m³.

The structure belongs to space group C2/m (No. 12); the cell edges are 4.1948, 4.1817 and 11.5764 Å and the angles 90.00°, 96.99° and 90.00°. Symmetry generates all atoms from Mg at (0.2187, 0.0000, 0.4065), In at (0.1570, 0.5000, 0.1363) and O at (0.2180, 0.5000, 0.4051).

=====

3.
MgIn2O after structural relaxation, computed with PBE-GGA.

As for the formation energy (no corrections): 22 kJ/mol of formula units. The value obtained for the total moment is 0.000 μB/f.u. The energy above the most stable polymorph in this dataset is 0.489 eV/atom. The value obtained for the mass density is 5.5 Mg/m³.

The structure belongs to space group Fm-3m (No. 225); the cell edges are 6.8968, 6.8968 and 6.8968 Å and the angles 90.00°, 90.00° and 90.00°. Symmetry generates all atoms from Mg at (0.0000, 0.0000, 0.0000), In at (0.2500, 0.2500, 0.2500) and O at (0.0000, 0.0000, 0.5000).

=====

4.
MgIn2O4 after structural relaxation, computed with PBE-GGA.

As for the formation energy (no corrections): -1271 kJ/mol of formula units. The value obtained for the total moment is 0.000 μB/f.u. The energy above the most stable polymorph in this dataset is 0.000 eV/atom. The value obtained for the mass density is 5.8 Mg/m³.

The structure belongs to space group Imma (No. 74); the cell edges are 6.3242, 6.4355 and 8.9544 Å and the angles 90.00°, 90.00° and 90.00°. Symmetry generates all atoms from Mg at (0.2500, 0.2500, 0.2500), In at (0.0000, 0.0000, 0.0000), In at (0.0000, 0.2500, 0.6315), O at (0.0000, 0.0249, 0.2428) and O at (0.2362, 0.2500, 0.0122).

=====

no.,DFT total energy (eV per atom)
1,-5.720
2,-4.688
3,-2.950
4,-5.726